[1]
A relaxed structure of Ca4TlAg5. Source: the Alexandria database, functional PBE.

Lattice parameters (Å, degrees): 3.7656 3.7656 17.6587 90.00 90.00 90.00
With the nearest neighbours (Å) after each atom.
Fractional positions:
Ca1 0.0000 0.0000 0.1914  8 Ag 3.17-3.21, 1 Tl 3.38
Ca2 0.0000 0.0000 0.3969  8 Ag 3.23
Ca3 0.0000 0.0000 0.6031  8 Ag 3.23
Ca4 0.0000 0.0000 0.8086  8 Ag 3.17-3.21, 1 Tl 3.38
Tl1 0.0000 0.0000 0.0000  8 Ag 3.13, 2 Ca 3.38
Ag1 0.5000 0.5000 0.0936  4 Tl 3.13, 4 Ca 3.17, 1 Ag 3.30
Ag2 0.5000 0.5000 0.2929  8 Ca 3.21-3.23, 1 Ag 3.52
Ag3 0.5000 0.5000 0.5000  8 Ca 3.23
Ag4 0.5000 0.5000 0.7071  8 Ca 3.21-3.23, 1 Ag 3.52
Ag5 0.5000 0.5000 0.9064  4 Tl 3.13, 4 Ca 3.17, 1 Ag 3.30

Output
Energy: -2.707 eV per atom
Space group: P4/mmm, No. 123
Total moment: 0.00 Bohr magnetons per cell
Density of states at the Fermi level: 0.604 states/eV per atom

[2]
A relaxed structure of AgAsS2I. Source: the Alexandria database, functional PBE.

Lattice parameters (Å, degrees): 5.0698 6.9353 7.7300 99.00 90.00 90.00
With the nearest neighbours (Å) after each atom.
Fractional positions:
Ag1 0.2500 0.6651 0.9164  3 S 2.50-2.58, 1 I 2.72
Ag2 0.7500 0.3349 0.0836  3 S 2.50-2.58, 1 I 2.72
As1 0.2500 0.6199 0.3867  2 S 2.29-2.42
As2 0.7500 0.3801 0.6133  2 S 2.29-2.42
S1 0.7500 0.6216 0.4428  1 As 2.29
S2 0.2500 0.3784 0.5572  1 As 2.29
S3 0.7500 0.5936 0.8922  1 As 2.42, 3 Ag 2.50-2.58
S4 0.2500 0.4064 0.1078  1 As 2.42, 3 Ag 2.50-2.58
I1 0.2500 0.9763 0.7412  1 Ag 2.72
I2 0.7500 0.0237 0.2588  1 Ag 2.72

Output
Space group: P2_1/m, No. 11
Total moment: 0.00 Bohr magnetons per cell
Density of states at the Fermi level: 0.372 states/eV per atom
E_form (uncorrected): -14 meV/atom

[3]
A relaxed structure of KSc2Se. Source: the Alexandria database, functional PBE.

Lattice parameters (Å, degrees): 5.3659 6.2569 3.6224 72.46 91.60 115.90
With the nearest neighbours (Å) after each atom.
Fractional positions:
K1 0.5000 0.5000 0.0000  4 Sc 3.11, 4 Se 3.19-3.28
Sc1 0.0000 0.0000 0.0000  2 K 3.11, 2 Se 3.11, 4 Sc 3.19-3.28
Sc2 0.5000 0.0000 0.5000  2 Se 3.11, 2 K 3.11, 4 Sc 3.19-3.28
Se1 0.0000 0.5000 0.5000  4 Sc 3.11, 4 K 3.19-3.28

Output
Space group: C2/m, No. 12
Total moment: 0.00 Bohr magnetons per cell
Density of states at the Fermi level: 1.180 states/eV per atom
E_form (uncorrected): -24 meV/atom

[4]
A relaxed structure of CrTePt2. Source: the Alexandria database, functional PBE.

Lattice parameters (Å, degrees): 5.1034 5.1034 5.1034 133.23 133.37 68.19
With the nearest neighbours (Å) after each atom.
Fractional positions:
Cr1 0.2500 0.7500 0.5000  4 Te 2.86, 8 Pt 2.92-2.93
Pt1 0.0005 0.0005 0.0000  4 Pt 2.86, 4 Te 2.92-2.93, 4 Cr 2.92-2.93
Pt2 0.4995 0.4995 0.0000  4 Pt 2.86, 4 Te 2.92-2.93, 4 Cr 2.92-2.93
Te1 0.7500 0.2500 0.5000  4 Cr 2.86, 8 Pt 2.92-2.93

Output
Space group: Immm, No. 71
Total moment: 3.58 Bohr magnetons per cell
Density of states at the Fermi level: 1.160 states/eV per atom
E_form (uncorrected): 26 meV/atom

Which of these has the highest total moment? CrTePt2

Look up the density of states at the Fermi level of the second one. 0.372 states/eV per atom

Which formula does entry 3 have? KSc2Se